# PBE BaAgIr2, optimized geometry
# * Fermi-level density of states: 1.258 states/eV per atom
# * formation energy: 83.4 kJ/mol of atoms
# * E above lowest polymorph: 0.877 eV per atom
data_BaAgIr2
_chemical_formula_sum 'Ba3 Ag3 Ir6'
_symmetry_space_group_name_H-M 'R -3 m'
_symmetry_Int_Tables_number 166
_symmetry_space_group_name_Hall '-R 3 2"'
_cell_length_a 2.9762
_cell_length_b 2.9762
_cell_length_c 30.6160
_cell_angle_alpha 90.00
_cell_angle_beta 90.00
_cell_angle_gamma 120.00
loop_
_atom_site_label
_atom_site_type_symbol
_atom_site_fract_x
_atom_site_fract_y
_atom_site_fract_z
Ba1 Ba 0.0000 0.0000 0.0000
Ag1 Ag 0.0000 0.0000 0.5000
Ir1 Ir 0.0000 0.0000 0.2413